The following is a DFT calculation (PBE-GGA) of a relaxed structure of LaCd2Os.

As for the density of states at the Fermi level: 0.465 states/eV/atom. As for the formation energy: 39.0 kJ/mol of atoms.

The structure belongs to space group R3m (No. 160, hexagonal axes); the cell edges are 3.4572, 3.4572 and 28.1162 Å and the angles 90.00°, 90.00° and 120.00°. The inequivalent atoms are La at (0.0000, 0.0000, 0.0000), Cd at (0.0000, 0.0000, 0.2293), Cd at (0.0000, 0.0000, 0.4761) and Os at (0.0000, 0.0000, 0.7375).



The following is a DFT calculation (PBE-GGA) of a relaxed structure of DyZnAg.

As for the density of states at the Fermi level: 0.645 states/eV/atom. As for the formation energy: -31.3 kJ/mol of atoms.

The structure belongs to space group C2/m (No. 12); the cell edges are 10.3401, 4.6325 and 6.9024 Å and the angles 90.00°, 130.14° and 90.00°. The inequivalent atoms are Dy at (0.0314, 0.0000, 0.2830), Zn at (0.1607, 0.5000, 0.1246) and Ag at (0.1729, 0.5000, 0.7114).



The following is a DFT calculation (PBE-GGA) of a relaxed structure of Ca2Zn6CuAg.

As for the density of states at the Fermi level: 0.469 states/eV/atom. As for the formation energy: 0.5 kJ/mol of atoms.

The structure belongs to space group Fm-3m (No. 225); the cell edges are 9.5798, 9.5798 and 9.5798 Å and the angles 90.00°, 90.00° and 90.00°. The inequivalent atoms are Ca at (0.2500, 0.2500, 0.2500), Zn at (0.0000, 0.0000, 0.2413), Cu at (0.0000, 0.0000, 0.0000) and Ag at (0.0000, 0.0000, 0.5000).



The following is a DFT calculation (PBE-GGA) of a relaxed structure of NaIrPbBr6.

Its energy relative to the elements, uncorrected is -708.7 meV/atom.

The structure belongs to space group P-31c (No. 163); the cell edges are 7.3126, 7.3126 and 12.5017 Å and the angles 90.00°, 90.00° and 120.00°. The inequivalent atoms are Na at (0.0000, 0.0000, 0.0000), Ir at (0.3333, 0.6667, 0.2500), Pb at (0.3333, 0.6667, 0.7500) and Br at (0.0548, 0.3884, 0.1306).



The following is a DFT calculation (PBE-GGA) of a relaxed structure of MnSiTe2.

As for the density of states at the Fermi level: 1.289 states/eV/atom. Its energy relative to the elements, uncorrected is 492.4 meV/atom.

The structure belongs to space group I-42d (No. 122); the cell edges are 6.0197, 6.0197 and 11.7825 Å and the angles 90.00°, 90.00° and 90.00°. The inequivalent atoms are Mn at (0.0000, 0.0000, 0.0000), Si at (0.0000, 0.0000, 0.5000) and Te at (0.2154, 0.2500, 0.1250).



The following is a DFT calculation (PBE-GGA) of a relaxed structure of MoWAu2.

As for the density of states at the Fermi level: 0.589 states/eV/atom. As for the energy above the most stable polymorph in this dataset: 0.068 eV per atom. As for the formation energy: 26.3 kJ/mol of atoms.

The structure belongs to space group P4mm (No. 99); the cell edges are 3.3508, 3.3508 and 6.0513 Å and the angles 90.00°, 90.00° and 90.00°. The inequivalent atoms are Mo at (0.0000, 0.0000, 0.0000), W at (0.5000, 0.5000, 0.2118), Au at (0.0000, 0.0000, 0.4792) and Au at (0.5000, 0.5000, 0.7298).



The following is a DFT calculation (PBE-GGA) of a relaxed structure of CrTe2I.

As for the density of states at the Fermi level: 0.581 states/eV/atom. As for the energy above the most stable polymorph in this dataset: 0.288 eV per atom. Its energy relative to the elements, uncorrected is 75.4 meV/atom.

The structure belongs to space group I4/mcm (No. 140); the cell edges are 10.2079, 10.2079 and 5.9277 Å and the angles 90.00°, 90.00° and 90.00°. The inequivalent atoms are Cr at (0.0000, 0.5000, 0.2500), Te at (0.1384, 0.3616, 0.0000) and I at (0.0000, 0.0000, 0.2500).



The following is a DFT calculation (PBE-GGA) of a relaxed structure of CeNpMn4.

As for the density of states at the Fermi level: 1.662 states/eV/atom. As for the formation energy: 8.8 kJ/mol of atoms.

The structure belongs to space group F-43m (No. 216); the cell edges are 7.1783, 7.1783 and 7.1783 Å and the angles 90.00°, 90.00° and 90.00°. The inequivalent atoms are Ce at (0.0000, 0.0000, 0.0000), Np at (0.2500, 0.2500, 0.2500) and Mn at (0.1248, 0.1248, 0.6248).



The following is a DFT calculation (PBE-GGA) of a relaxed structure of Pm12Pr6Th.

As for the density of states at the Fermi level: 1.393 states/eV/atom. As for the formation energy: 11.5 kJ/mol of atoms.

The structure belongs to space group R-3m (No. 166, hexagonal axes); the cell edges are 13.4888, 13.4888 and 13.0597 Å and the angles 90.00°, 90.00° and 120.00°. The inequivalent atoms are Pm at (0.0000, 0.2620, 0.0000), Pm at (0.0560, 0.5280, 0.1140), Pr at (0.0884, 0.1767, 0.7712) and Th at (0.0000, 0.0000, 0.0000).



The following is a DFT calculation (PBE-GGA) of a relaxed structure of CsMgGe.

As for the density of states at the Fermi level: 0.629 states/eV/atom. As for the energy above the most stable polymorph in this dataset: 0.000 eV per atom. As for the formation energy: -11.4 kJ/mol of atoms.

The structure belongs to space group P4/nmm (No. 129, origin choice 2); the cell edges are 4.7894, 4.7894 and 9.1972 Å and the angles 90.00°, 90.00° and 90.00°. The inequivalent atoms are Cs at (0.2500, 0.2500, 0.1611), Mg at (0.2500, 0.7500, 0.5000) and Ge at (0.2500, 0.2500, 0.6579).



The following is a DFT calculation (PBE-GGA) of a relaxed structure of HoScRh.

As for the density of states at the Fermi level: 1.220 states/eV/atom. As for the energy above the most stable polymorph in this dataset: 0.109 eV per atom. As for the formation energy: -56.4 kJ/mol of atoms.

The structure belongs to space group I4mm (No. 107); the cell edges are 3.3103, 3.3103 and 12.1449 Å and the angles 90.00°, 90.00° and 90.00°. The inequivalent atoms are Ho at (0.0000, 0.0000, 0.0000), Sc at (0.0000, 0.0000, 0.2700) and Rh at (0.0000, 0.0000, 0.6478).



What is the formula in the fourth record? NaIrPbBr6